(w)
Density functional theory data (PBE) for a relaxed SrCa2Si6 crystal.

Lattice parameters (Å, degrees): 4.4520 7.0786 7.0786 120.00 90.00 90.00
With the nearest neighbours (Å) after each atom.
Fractional coordinates of all 9 atoms:
Sr1 0.0000 0.0000 0.0000  12 Si 3.25
Ca1 0.0000 0.3333 0.6667  12 Si 3.24
Ca2 0.0000 0.6667 0.3333  12 Si 3.24
Si1 0.5000 0.6648 0.6648  3 Si 2.33-2.37
Si2 0.5000 0.3352 0.3352  3 Si 2.33-2.37
Si3 0.5000 0.0000 0.3352  3 Si 2.33-2.37
Si4 0.5000 0.6648 0.0000  3 Si 2.33-2.37
Si5 0.5000 0.0000 0.6648  3 Si 2.33-2.37
Si6 0.5000 0.3352 0.0000  3 Si 2.33-2.37

Magnetic moment = 0.0 μB/cell

(x)
Density functional theory data (PBE) for a relaxed SrCa2Si6 crystal.

Lattice parameters (Å, degrees): 6.3719 6.3719 8.3570 87.82 87.82 36.15
With the nearest neighbours (Å) after each atom.
Fractional coordinates of all 9 atoms:
Si1 0.4143 0.4143 0.5769  3 Si 2.40-2.41
Si2 0.7539 0.7539 0.9162  3 Si 2.41-2.42
Si3 0.2461 0.2461 0.0838  3 Si 2.41-2.42
Si4 0.5857 0.5857 0.4231  3 Si 2.40-2.41
Si5 0.9172 0.9172 0.7409  3 Si 2.41
Si6 0.0828 0.0828 0.2591  3 Si 2.41
Ca1 0.1705 0.1705 0.6676  6 Si 3.02-3.10
Ca2 0.8295 0.8295 0.3324  6 Si 3.02-3.10
Sr1 0.5000 0.5000 0.0000  6 Si 3.13

Magnetic moment = 0.0 μB/cell

Which one is most stable, and which one is least stable? (x) is the most stable of them, while (w) is the least stable.

(w)
Density functional theory data (PBE) for a relaxed CaTa3Si crystal.

Lattice parameters (Å, degrees): 4.6994 4.6994 4.6994 90.00 90.00 90.00
With the nearest neighbours (Å) after each atom.
Fractional coordinates of all 5 atoms:
Ca1 0.0000 0.0000 0.0000  6 Ta 2.35
Si1 0.5000 0.5000 0.5000  12 Ta 3.32
Ta1 0.5000 0.0000 0.0000  2 Ca 2.35
Ta2 0.0000 0.0000 0.5000  2 Ca 2.35
Ta3 0.0000 0.5000 0.0000  2 Ca 2.35

Magnetic moment = 0.0 μB/cell

(x)
Density functional theory data (PBE) for a relaxed CaTa3Si crystal.

Lattice parameters (Å, degrees): 4.8016 4.8016 4.8016 90.00 90.00 90.00
With the nearest neighbours (Å) after each atom.
Fractional coordinates of all 5 atoms:
Ta1 0.5000 0.0000 0.0000  2 Si 2.40
Ta2 0.0000 0.5000 0.0000  2 Si 2.40
Ta3 0.0000 0.0000 0.5000  2 Si 2.40
Ca1 0.5000 0.5000 0.5000  12 Ta 3.40
Si1 0.0000 0.0000 0.0000  6 Ta 2.40

Magnetic moment = 0.0 μB/cell

Which one is most stable, and which one is least stable? (x) is the most stable of them, while (w) is the least stable.

(w)
Density functional theory data (PBE) for a relaxed CaTa2Si2 crystal.

Lattice parameters (Å, degrees): 8.0045 8.0045 2.8189 90.00 90.00 90.00
With the nearest neighbours (Å) after each atom.
Fractional coordinates of all 10 atoms:
Si1 0.8269 0.3269 0.5000  6 Ta 2.74-2.77, 2 Si 2.82
Si2 0.3269 0.1731 0.5000  6 Ta 2.74-2.77, 2 Si 2.82
Si3 0.1731 0.6731 0.5000  6 Ta 2.74-2.77, 2 Si 2.82
Si4 0.6731 0.8269 0.5000  6 Ta 2.74-2.77, 2 Si 2.82
Ca1 0.5000 0.5000 0.0000  2 Ca 2.82
Ca2 0.0000 0.0000 0.0000  2 Ca 2.82
Ta1 0.3803 0.8803 0.0000  3 Ta 2.71-2.82, 6 Si 2.74-2.77
Ta2 0.6197 0.1197 0.0000  3 Ta 2.71-2.82, 6 Si 2.74-2.77
Ta3 0.1197 0.3803 0.0000  3 Ta 2.71-2.82, 6 Si 2.74-2.77
Ta4 0.8803 0.6197 0.0000  3 Ta 2.71-2.82, 6 Si 2.74-2.77

Magnetic moment = 0.0 μB/cell

(x)
Density functional theory data (PBE) for a relaxed CaTa2Si2 crystal.

Lattice parameters (Å, degrees): 4.8578 4.8578 5.5739 64.17 64.17 90.00
With the nearest neighbours (Å) after each atom.
Fractional coordinates of all 5 atoms:
Si1 0.7500 0.2500 0.5000  4 Ta 2.57
Si2 0.2500 0.7500 0.5000  4 Ta 2.57
Ca1 0.0000 0.0000 0.0000  2 Ta 3.04, 8 Si 3.27
Ta1 0.6540 0.6540 0.6921  4 Si 2.57, 1 Ta 2.70
Ta2 0.3460 0.3460 0.3079  4 Si 2.57, 1 Ta 2.70

Magnetic moment = 0.0 μB/cell

(y)
Density functional theory data (PBE) for a relaxed CaTa2Si2 crystal.

Lattice parameters (Å, degrees): 7.1947 7.1947 3.3822 90.00 90.00 90.00
With the nearest neighbours (Å) after each atom.
Fractional coordinates of all 10 atoms:
Ca1 0.0000 0.0000 0.0000  4 Si 2.85, 8 Ta 3.17
Ca2 0.5000 0.5000 0.0000  4 Si 2.85, 8 Ta 3.17
Si1 0.6238 0.1238 0.0000  1 Si 2.52, 6 Ta 2.70-2.73
Si2 0.3762 0.8762 0.0000  1 Si 2.52, 6 Ta 2.70-2.73
Si3 0.1238 0.3762 0.0000  1 Si 2.52, 6 Ta 2.70-2.73
Si4 0.8762 0.6238 0.0000  1 Si 2.52, 6 Ta 2.70-2.73
Ta1 0.8349 0.3349 0.5000  6 Si 2.70-2.73
Ta2 0.3349 0.1651 0.5000  6 Si 2.70-2.73
Ta3 0.1651 0.6651 0.5000  6 Si 2.70-2.73
Ta4 0.6651 0.8349 0.5000  6 Si 2.70-2.73

Magnetic moment = 0.0 μB/cell

Which one is most stable, and which one is least stable? (y) is the most stable of them, while (x) is the least stable.

(w)
Density functional theory data (PBE) for a relaxed CaSi2Tc2 crystal.

Lattice parameters (Å, degrees): 7.3158 7.3158 2.9424 90.00 90.00 90.00
With the nearest neighbours (Å) after each atom.
Fractional coordinates of all 10 atoms:
Tc1 0.1465 0.6465 0.5000  6 Si 2.54-2.68
Tc2 0.6465 0.8535 0.5000  6 Si 2.54-2.68
Tc3 0.3535 0.1465 0.5000  6 Si 2.54-2.68
Tc4 0.8535 0.3535 0.5000  6 Si 2.54-2.68
Si1 0.6367 0.1367 0.0000  6 Tc 2.54-2.68, 1 Si 2.83, 2 Ca 2.84
Si2 0.1367 0.3633 0.0000  6 Tc 2.54-2.68, 1 Si 2.83, 2 Ca 2.84
Si3 0.8633 0.6367 0.0000  6 Tc 2.54-2.68, 1 Si 2.83, 2 Ca 2.84
Si4 0.3633 0.8633 0.0000  6 Tc 2.54-2.68, 1 Si 2.83, 2 Ca 2.84
Ca1 0.5000 0.5000 0.0000  4 Si 2.84, 2 Ca 2.94, 8 Tc 3.16
Ca2 0.0000 0.0000 0.0000  4 Si 2.84, 2 Ca 2.94, 8 Tc 3.16

Magnetic moment = 0.0 μB/cell

(x)
Density functional theory data (PBE) for a relaxed CaSi2Tc2 crystal.

Lattice parameters (Å, degrees): 4.3398 4.3398 5.6766 67.53 67.53 90.00
With the nearest neighbours (Å) after each atom.
Fractional coordinates of all 5 atoms:
Ca1 0.0000 0.0000 0.0000  8 Si 3.23, 10 Tc 3.28-3.61
Si1 0.7500 0.2500 0.5000  4 Tc 2.49
Si2 0.2500 0.7500 0.5000  4 Tc 2.49
Tc1 0.3781 0.3781 0.2438  1 Tc 2.33, 4 Si 2.49
Tc2 0.6219 0.6219 0.7562  1 Tc 2.33, 4 Si 2.49

Magnetic moment = 0.0 μB/cell

(y)
Density functional theory data (PBE) for a relaxed CaSi2Tc2 crystal.

Lattice parameters (Å, degrees): 4.0943 4.0943 5.9709 110.05 110.05 90.00
With the nearest neighbours (Å) after each atom.
Fractional coordinates of all 5 atoms:
Si1 0.6207 0.6207 0.2413  4 Tc 2.45, 1 Si 2.52
Si2 0.3793 0.3793 0.7587  4 Tc 2.45, 1 Si 2.52
Ca1 0.0000 0.0000 0.0000  8 Si 3.16, 8 Tc 3.32
Tc1 0.2500 0.7500 0.5000  4 Si 2.45
Tc2 0.7500 0.2500 0.5000  4 Si 2.45

Magnetic moment = 0.4 μB/cell

(z)
Density functional theory data (PBE) for a relaxed CaSi2Tc2 crystal.

Lattice parameters (Å, degrees): 4.0352 4.0352 5.3423 90.00 90.00 90.00
With the nearest neighbours (Å) after each atom.
Fractional coordinates of all 5 atoms:
Si1 0.5000 0.5000 0.2283  1 Si 2.44, 4 Tc 2.49
Si2 0.5000 0.5000 0.7717  1 Si 2.44, 4 Tc 2.49
Tc1 0.5000 0.0000 0.5000  4 Si 2.49
Tc2 0.0000 0.5000 0.5000  4 Si 2.49
Ca1 0.0000 0.0000 0.0000  8 Si 3.10, 8 Tc 3.35

Magnetic moment = 0.0 μB/cell

Which one is most stable, and which one is least stable? (y) is the most stable of them, while (x) is the least stable.

(w)
Density functional theory data (PBE) for a relaxed CaSi2Te crystal.

Lattice parameters (Å, degrees): 4.3608 4.3622 4.6526 90.00 90.00 90.00
With the nearest neighbours (Å) after each atom.
Fractional coordinates of all 4 atoms:
Ca1 0.0000 0.5000 0.5000  4 Te 3.08, 8 Si 3.19
Si1 0.5000 0.5000 0.0000  4 Si 3.08, 4 Ca 3.19, 4 Te 3.19
Si2 0.0000 0.0000 0.0000  4 Si 3.08, 4 Te 3.19, 4 Ca 3.19
Te1 0.5000 0.0000 0.5000  4 Ca 3.08, 8 Si 3.19

Magnetic moment = 0.0 μB/cell

(x)
Density functional theory data (PBE) for a relaxed CaSi2Te crystal.

Lattice parameters (Å, degrees): 3.9846 3.9552 6.1230 90.00 90.00 90.00
With the nearest neighbours (Å) after each atom.
Fractional coordinates of all 4 atoms:
Si1 0.0000 0.0000 0.0568  1 Si 2.37
Si2 0.0000 0.0000 0.4432  1 Si 2.37
Ca1 0.5000 0.5000 0.7500  2 Te 3.06, 8 Si 3.38
Te1 0.5000 0.5000 0.2500  8 Si 3.05, 2 Ca 3.06

Magnetic moment = 0.0 μB/cell

(y)
Density functional theory data (PBE) for a relaxed CaSi2Te crystal.

Lattice parameters (Å, degrees): 5.4710 5.4710 5.4710 131.35 131.35 71.26
With the nearest neighbours (Å) after each atom.
Fractional coordinates of all 4 atoms:
Si1 0.2500 0.7500 0.5000  4 Te 3.17, 4 Si 3.17, 4 Ca 3.19
Si2 0.0000 0.0000 0.0000  4 Si 3.17, 4 Ca 3.17, 4 Te 3.19
Ca1 0.7500 0.2500 0.5000  8 Si 3.17-3.19, 4 Te 3.17
Te1 0.5000 0.5000 0.0000  4 Ca 3.17, 8 Si 3.17-3.19

Magnetic moment = 0.0 μB/cell

(z)
Density functional theory data (PBE) for a relaxed CaSi2Te crystal.

Lattice parameters (Å, degrees): 8.1114 8.1114 8.1114 27.39 27.39 27.39
With the nearest neighbours (Å) after each atom.
Fractional coordinates of all 4 atoms:
Te1 0.2500 0.2500 0.2500  6 Si 2.80
Si1 0.9899 0.9899 0.9899  3 Te 2.80, 3 Ca 3.11
Si2 0.5101 0.5101 0.5101  3 Te 2.80, 3 Ca 3.11
Ca1 0.7500 0.7500 0.7500  6 Si 3.11

Magnetic moment = 0.0 μB/cell

Which one is most stable, and which one is least stable? (w) is the most stable of them, while (z) is the least stable.

(w)
Density functional theory data (PBE) for a relaxed Ca2SiTe crystal.

Lattice parameters (Å, degrees): 3.8875 3.8328 8.1588 61.91 90.00 90.00
With the nearest neighbours (Å) after each atom.
Fractional coordinates of all 4 atoms:
Te1 0.5000 0.7500 0.7500  8 Ca 3.31-3.32, 2 Si 3.60
Ca1 0.0000 0.9886 0.0116  4 Si 3.22, 4 Te 3.31-3.32, 1 Ca 3.43
Ca2 0.0000 0.5114 0.4884  4 Si 3.22, 4 Te 3.31-3.32, 1 Ca 3.43
Si1 0.5000 0.2500 0.2500  8 Ca 3.22, 2 Te 3.60

Magnetic moment = 0.0 μB/cell

(x)
Density functional theory data (PBE) for a relaxed Ca2SiTe crystal.

Lattice parameters (Å, degrees): 7.8614 5.3798 3.7405 89.47 62.41 124.73
With the nearest neighbours (Å) after each atom.
Fractional coordinates of all 4 atoms:
Ca1 0.5000 0.0000 0.5000  4 Te 3.26-3.29, 4 Si 3.26-3.29, 2 Ca 3.48
Ca2 0.0000 0.0000 0.0000  4 Si 3.26-3.29, 4 Te 3.26-3.29, 2 Ca 3.48
Si1 0.0000 0.5000 0.5000  8 Ca 3.26-3.29, 2 Te 3.48
Te1 0.5000 0.5000 0.0000  8 Ca 3.26-3.29, 2 Si 3.48

Magnetic moment = 0.0 μB/cell

(y)
Density functional theory data (PBE) for a relaxed Ca2SiTe crystal.

Lattice parameters (Å, degrees): 4.1321 4.1321 8.5146 75.99 75.99 59.94
With the nearest neighbours (Å) after each atom.
Fractional coordinates of all 4 atoms:
Ca1 0.5025 0.5025 0.4923  3 Te 3.10, 3 Si 3.18
Ca2 0.9975 0.9975 0.0077  3 Te 3.10, 3 Si 3.18
Si1 0.7500 0.7500 0.7500  6 Ca 3.18
Te1 0.2500 0.2500 0.2500  6 Ca 3.10

Magnetic moment = 0.0 μB/cell

(z)
Density functional theory data (PBE) for a relaxed Ca2SiTe crystal.

Lattice parameters (Å, degrees): 8.1836 8.1836 6.7586 52.74 52.74 90.00
With the nearest neighbours (Å) after each atom.
Fractional coordinates of all 8 atoms:
Te1 0.0000 0.0000 0.0000  4 Ca 3.11
Te2 0.7500 0.2500 0.5000  4 Ca 3.11
Ca1 0.3750 0.3913 0.7500  2 Si 2.93, 2 Te 3.11
Ca2 0.6087 0.1250 0.2500  2 Si 2.93, 2 Te 3.11
Ca3 0.1413 0.6250 0.2500  2 Si 2.93, 2 Te 3.11
Ca4 0.8750 0.8587 0.7500  2 Si 2.93, 2 Te 3.11
Si1 0.5000 0.5000 0.0000  4 Ca 2.93
Si2 0.2500 0.7500 0.5000  4 Ca 2.93

Magnetic moment = 0.0 μB/cell

Which one is most stable, and which one is least stable? (y) is the most stable of them, while (z) is the least stable.